Computed, not measured: LaBi2Ir2 at its PBEsol-relaxed geometry at the SCAN level of DFT.

The structure in POSCAR format:
```
LaBi2Ir2
1.0
4.739 0.000 0.000
0.000 4.739 0.000
-2.369 -2.369 5.259
Ir Bi La
2 2 1
Direct
0.380 0.380 0.760
0.620 0.620 0.240
0.250 0.750 0.500
0.750 0.250 0.500
0.000 0.000 0.000
```

**Raw total energy**: -68.81 eV/atom
**ΔE_f**: -1.6 eV per formula unit
**Symmetry**: I4/mmm (139)